Entry 1:
Computed, not measured: a crystal of Ti6Ga16Pt7 relaxed with PBEsol at the SCAN level of DFT.

Unit cell a=12.167 b=12.167 c=12.167 alpha=90.00 beta=90.00 gamma=90.00
Space group Fm-3m (No. 225)
Asymmetric unit:
Ti  0.000  0.000  0.208 [24 per cell]
Ga  0.124  0.124  0.376 [32 per cell]
Ga  0.144  0.144  0.144 [32 per cell]
Pt  0.000  0.000  0.500 [4 per cell]
Pt  0.000  0.250  0.250 [24 per cell]

Properties
- Total DFT energy (no corrections): -29.972 eV per atom
- Total magnetization: 0.000 μB/atom
- Fermi-level density of states: 0.246 states/eV/atom
- E_form: -0.693 eV/atom

Entry 2:
Computed, not measured: a crystal of TlGaPt3 relaxed with PBEsol at the SCAN level of DFT.

Unit cell a=4.989 b=4.989 c=4.989 alpha=90.00 beta=90.00 gamma=90.00
Space group Pm-3m (No. 221)
Asymmetric unit:
Tl  0.000  0.000  0.000 [1 per cell]
Ga  0.500  0.500  0.500 [1 per cell]
Pt  0.000  0.000  0.500 [3 per cell]

Properties
- Total DFT energy (no corrections): -58.420 eV per atom
- Total magnetization: 0.000 μB/atom
- Fermi-level density of states: 1.621 states/eV/atom
- E_form: 1.437 eV/atom

Entry 3:
Computed, not measured: a crystal of TmGaPt relaxed with PBEsol at the SCAN level of DFT.

Unit cell a=6.702 b=4.355 c=7.553 alpha=90.00 beta=90.00 gamma=90.00
Space group Pnma (No. 62)
Asymmetric unit:
Tm  0.015  0.250  0.198 [4 per cell]
Ga  0.173  0.250  0.575 [4 per cell]
Pt  0.226  0.750  0.401 [4 per cell]

Properties
- Total DFT energy (no corrections): -47.470 eV per atom
- Total magnetization: 0.000 μB/atom
- Fermi-level density of states: 0.432 states/eV/atom
- E_form: -1.346 eV/atom

Entry 4:
Computed, not measured: a crystal of YGaPtW2 relaxed with PBEsol at the SCAN level of DFT.

Unit cell a=4.775 b=4.775 c=5.204 alpha=90.00 beta=90.00 gamma=90.00
Space group P4/mmm (No. 123)
Asymmetric unit:
Y  0.000  0.000  0.000 [1 per cell]
Ga  0.500  0.500  0.000 [1 per cell]
Pt  0.000  0.000  0.500 [1 per cell]
W  0.000  0.500  0.500 [2 per cell]

Properties
- Total DFT energy (no corrections): -49.566 eV per atom
- Total magnetization: 0.000 μB/atom
- Fermi-level density of states: 0.856 states/eV/atom
- E_form: 1.185 eV/atom

- Which formula does entry 3 have?
  TmGaPt